# PBE with a Hubbard U CaPm2MnO6, relaxed
data_CaPm2MnO6
_cell_length_a 4.9157
_cell_length_b 5.4839
_cell_length_c 5.4839
_cell_angle_alpha 90.00
_cell_angle_beta 90.00
_cell_angle_gamma 90.00
_symmetry_space_group_name_H-M 'P 1'
_symmetry_Int_Tables_number 1
loop_
_symmetry_equiv_pos_as_xyz
'x,y,z'
loop_
_atom_site_label
_atom_site_fract_x
_atom_site_fract_y
_atom_site_fract_z
Ca1 0.5649 0.5000 0.5000
Pm1 0.9955 0.5000 0.0000
Pm2 0.9955 0.0000 0.5000
Mn1 0.6195 0.0000 0.0000
O1 0.7270 0.2323 0.2323
O2 0.7270 0.2323 0.7677
O3 0.1190 0.5000 0.5000
O4 0.2443 0.0000 0.0000
O5 0.7270 0.7677 0.7677
O6 0.7270 0.7677 0.2323
# total DFT energy (no corrections)	-74.1	eV/f.u.
# volume	148	Å³/cell